Here is PuRe2Si2 after structural relaxation from Alexandria via LeMat-Bulk. Energies are from PBE-GGA.

```
PuRe2Si2
1.0
-2.0055 2.0055 5.3072
2.0055 -2.0055 5.3072
2.0055 2.0055 -5.3072
Pu Re Si
1 2 2
Direct
0.0000 0.0000 0.0000
0.2500 0.7500 0.5000
0.7500 0.2500 0.5000
0.3860 0.3860 0.0000
0.6140 0.6140 0.0000
```

Properties
symmetry = I4/mmm, No. 139
uncorrected formation energy = -0.33 eV/atom
energy above the lowest structure with this stoichiometry = 0.0502 eV/atom
DOS at the Fermi energy = 12.48 states/eV/f.u.
volume = 17.1 Å³/atom